# PrSm4Al2 | Alexandria via LeMat-Bulk | PBE-GGA | optimized geometry
# E   -4.231 eV/atom
# Offset from the most stable computed form   398 meV per atom
# Formation energy   218 meV/atom
# DOS(E_F)   1.47 states/eV/atom
data_PrSm4Al2
_chemical_formula_sum 'Pr2 Sm8 Al4'
_space_group_name_H-M_alt 'I 4/m m m'
_space_group_IT_number 139
_space_group_name_Hall '-I 4 2'
_cell_length_a 5.8094
_cell_length_b 5.8094
_cell_length_c 12.7217
_cell_angle_alpha 90.00
_cell_angle_beta 90.00
_cell_angle_gamma 90.00
loop_
_atom_site_label
_atom_site_type_symbol
_atom_site_fract_x
_atom_site_fract_y
_atom_site_fract_z
_atom_site_occupancy
Pr1 Pr 0.0000 0.0000 0.0000 1
Sm1 Sm 0.0000 0.5000 0.0000 1
Sm2 Sm 0.0000 0.5000 0.2500 1
Al1 Al 0.0000 0.0000 0.3872 1

# Pr3Sm4Al | Alexandria via LeMat-Bulk | PBE-GGA | optimized geometry
# E   -4.660 eV/atom
# Offset from the most stable computed form   32 meV per atom
# Formation energy   -41 meV/atom
# DOS(E_F)   1.26 states/eV/atom
data_Pr3Sm4Al
_chemical_formula_sum 'Pr6 Sm8 Al2'
_space_group_name_H-M_alt 'P m m n'
_space_group_IT_number 59
_cell_length_a 4.9240
_cell_length_b 10.1856
_cell_length_c 10.1719
_cell_angle_alpha 90.00
_cell_angle_beta 90.00
_cell_angle_gamma 90.00
loop_
_space_group_symop_operation_xyz
'x,y,z'
'-x,-y,-z'
'-x+1/2,-y+1/2,z'
'x+1/2,y+1/2,-z'
'x+1/2,-y,-z'
'-x+1/2,y,z'
'-x,y+1/2,-z'
'x,-y+1/2,z'
loop_
_atom_site_label
_atom_site_type_symbol
_atom_site_fract_x
_atom_site_fract_y
_atom_site_fract_z
_atom_site_occupancy
Pr1 Pr 0.2500 0.0063 0.1188 1
Pr2 Pr 0.2500 0.2500 0.8837 1
Sm1 Sm 0.2500 0.2500 0.3619 1
Sm2 Sm 0.2500 0.5077 0.6303 1
Sm3 Sm 0.2500 0.7500 0.3753 1
Al1 Al 0.2500 0.7500 0.8709 1

# PrSm9Al2 | Alexandria via LeMat-Bulk | PBE-GGA | optimized geometry
# E   -4.655 eV/atom
# Formation energy   -93 meV/atom
# DOS(E_F)   1.15 states/eV/atom
data_PrSm9Al2
_chemical_formula_sum 'Pr1 Sm9 Al2'
_space_group_name_H-M_alt 'P 4/m m m'
_space_group_IT_number 123
_space_group_name_Hall '-P 4 2'
_cell_length_a 4.9058
_cell_length_b 4.9058
_cell_length_c 15.1463
_cell_angle_alpha 90.00
_cell_angle_beta 90.00
_cell_angle_gamma 90.00
loop_
_atom_site_label
_atom_site_type_symbol
_atom_site_fract_x
_atom_site_fract_y
_atom_site_fract_z
_atom_site_occupancy
Pr1 Pr 0.0000 0.0000 0.0000 1
Sm1 Sm 0.0000 0.5000 0.1807 1
Sm2 Sm 0.0000 0.5000 0.5000 1
Sm3 Sm 0.5000 0.5000 0.0000 1
Sm4 Sm 0.5000 0.5000 0.3428 1
Al1 Al 0.0000 0.0000 0.3404 1

# PrSm5Al4 | Alexandria via LeMat-Bulk | PBE-GGA | optimized geometry
# E   -4.621 eV/atom
# Formation energy   -287 meV/atom
# DOS(E_F)   0.74 states/eV/atom
data_PrSm5Al4
_chemical_formula_sum 'Pr1 Sm5 Al4'
_space_group_name_H-M_alt 'P 4/m m m'
_space_group_IT_number 123
_space_group_name_Hall '-P 4 2'
_cell_length_a 3.6515
_cell_length_b 3.6515
_cell_length_c 20.2668
_cell_angle_alpha 90.00
_cell_angle_beta 90.00
_cell_angle_gamma 90.00
loop_
_atom_site_label
_atom_site_type_symbol
_atom_site_fract_x
_atom_site_fract_y
_atom_site_fract_z
_atom_site_occupancy
Pr1 Pr 0.0000 0.0000 0.0000 1
Sm1 Sm 0.5000 0.5000 0.1322 1
Sm2 Sm 0.5000 0.5000 0.3160 1
Sm3 Sm 0.5000 0.5000 0.5000 1
Al1 Al 0.0000 0.0000 0.2226 1
Al2 Al 0.0000 0.0000 0.4078 1